Here is SrPRuAu after structural relaxation from the Alexandria database. Energies are from PBE.

Output
DOS at the Fermi energy in states/eV per atom: 0.595
Volume in Å³/atom: 21.71
ρ in g/cm3: 7.97
Formation energy in eV/f.u.: -1.267

Cell lengths 3.745, 3.745, 7.149 Å; angles 90.00, 90.00, 120.00 degrees
Positions (direct):
Sr 0.667 0.333 0.974
P 0.000 0.000 0.667
Ru 0.667 0.333 0.533
Au 0.333 0.667 0.292

Here is Mn2Ga2Fe7 after structural relaxation from the Alexandria database. Energies are from PBE.

Output
DOS at the Fermi energy in states/eV per atom: 0.998
Volume in Å³/atom: 12.51
ρ in g/cm3: 7.72
Formation energy in eV/f.u.: 1.547

Cell lengths 4.432, 6.240, 6.240 Å; angles 83.19, 116.46, 116.46 degrees
Each line ends with the local moment (μB).
Positions (direct):
Mn 0.931 0.239 0.239  2.45
Mn 0.069 0.761 0.761  2.45
Ga 0.500 0.221 0.779  -0.10
Ga 0.500 0.779 0.221  -0.10
Fe 0.177 0.920 0.412  1.94
Fe 0.823 0.588 0.080  1.94
Fe 0.823 0.080 0.588  1.94
Fe 0.177 0.412 0.920  1.94
Fe 0.000 0.000 0.000  2.29
Fe 0.648 0.413 0.413  2.47
Fe 0.352 0.587 0.587  2.47

Here is SrLiSe2Br after structural relaxation from the Alexandria database. Energies are from PBE.

Output
DOS at the Fermi energy in states/eV per atom: 1.124
Volume in Å³/atom: 41.98
ρ in g/cm3: 2.63
Calculated total energy in eV/atom: -3.051

Cell lengths 5.941, 5.941, 5.947 Å; angles 90.00, 90.00, 90.00 degrees
Each line ends with the local moment (μB).
Positions (direct):
Sr 0.000 0.000 0.000  0.00
Se 0.000 0.500 0.000  0.55
Se 0.500 0.000 0.000  0.55
Br 0.000 0.000 0.500  0.08
Li 0.500 0.500 0.500  0.00

Here is SrSiMo2 after structural relaxation from the Alexandria database. Energies are from PBE.

Output
DOS at the Fermi energy in states/eV per atom: 1.368
Volume in Å³/atom: 21.27
ρ in g/cm3: 6.00
Calculated total energy in eV/atom: -6.569

Cell lengths 8.279, 8.279, 8.279 Å; angles 24.39, 24.39, 24.39 degrees
Positions (direct):
Mo 0.971 0.971 0.971
Mo 0.529 0.529 0.529
Si 0.250 0.250 0.250
Sr 0.750 0.750 0.750